No. 1
Below is a geometry-optimized CsRb2IrF6 structure, with properties calculated at the PBE level.

a = 6.7791 Å, b = 6.7791 Å, c = 6.7791 Å
α = 60.00°, β = 60.00°, γ = 60.00°
With the nearest neighbours (Å) after each atom.
Element x y z (fractional)
Cs 0.5000 0.5000 0.5000  6 F 2.76
Rb 0.7500 0.7500 0.7500  12 F 3.41
Rb 0.2500 0.2500 0.2500  12 F 3.41
Ir 0.0000 0.0000 0.0000  6 F 2.04
F 0.7876 0.2124 0.2124  1 Ir 2.04
F 0.2124 0.2124 0.7876  1 Ir 2.04
F 0.2124 0.7876 0.7876  1 Ir 2.04
F 0.2124 0.7876 0.2124  1 Ir 2.04
F 0.7876 0.2124 0.7876  1 Ir 2.04
F 0.7876 0.7876 0.2124  1 Ir 2.04

Computed properties:
Total DFT energy (no corrections), eV per cell: -45.01
E above lowest polymorph, meV per atom: 39

No. 2
Below is a geometry-optimized Cs2IrRhF6 structure, with properties calculated at the PBE level.

a = 6.3280 Å, b = 6.3280 Å, c = 6.3286 Å
α = 60.00°, β = 60.00°, γ = 90.00°
With the nearest neighbours (Å) after each atom.
Element x y z (fractional)
Cs 0.7500 0.2500 0.5000  12 F 3.17
Cs 0.2500 0.7500 0.5000  12 F 3.17
Ir 0.0000 0.0000 0.0000  6 F 2.06
Rh 0.5000 0.5000 0.0000  6 F 2.41
F 0.2304 0.2304 0.5392  1 Ir 2.06
F 0.7696 0.7696 0.4608  1 Ir 2.06
F 0.2305 0.2305 0.0000  1 Ir 2.06
F 0.7695 0.7695 0.0000  1 Ir 2.06
F 0.7695 0.2305 0.0000  1 Ir 2.06
F 0.2305 0.7695 0.0000  1 Ir 2.06

Computed properties:
Total DFT energy (no corrections), eV per cell: -45.98

No. 3
Below is a geometry-optimized Cs2ScIrF6 structure, with properties calculated at the PBE level.

a = 6.7970 Å, b = 6.7970 Å, c = 6.3738 Å
α = 57.78°, β = 57.78°, γ = 90.00°
With the nearest neighbours (Å) after each atom.
Element x y z (fractional)
Cs 0.7500 0.2500 0.5000  12 F 3.21-3.40
Cs 0.2500 0.7500 0.5000  12 F 3.21-3.40
Sc 0.5000 0.5000 0.0000  6 F 2.02-2.08
Ir 0.0000 0.0000 0.0000  2 F 2.10
F 0.2513 0.2513 0.4974  1 Sc 2.08, 1 Ir 2.10
F 0.7487 0.7487 0.5026  1 Sc 2.08, 1 Ir 2.10
F 0.2895 0.2895 0.0000  1 Sc 2.02
F 0.7105 0.7105 0.0000  1 Sc 2.02
F 0.7105 0.2895 0.0000  1 Sc 2.02
F 0.2895 0.7105 0.0000  1 Sc 2.02

Computed properties:
Total DFT energy (no corrections), eV per cell: -53.08

No. 4
Below is a geometry-optimized Cs2SiIrF6 structure, with properties calculated at the PBE level.

a = 7.1949 Å, b = 7.1949 Å, c = 6.4082 Å
α = 55.85°, β = 55.85°, γ = 90.00°
With the nearest neighbours (Å) after each atom.
Element x y z (fractional)
Cs 0.7500 0.2500 0.5000  12 F 3.31-3.60
Cs 0.2500 0.7500 0.5000  12 F 3.31-3.60
Si 0.5000 0.5000 0.0000  6 F 1.69-1.78
Ir 0.0000 0.0000 0.0000  2 F 2.12
F 0.2719 0.2719 0.4561  1 Si 1.78
F 0.7281 0.7281 0.5439  1 Si 1.78
F 0.3335 0.3335 0.0000  1 Si 1.69
F 0.6665 0.6665 0.0000  1 Si 1.69
F 0.6665 0.3335 0.0000  1 Si 1.69
F 0.3335 0.6665 0.0000  1 Si 1.69

Computed properties:
Total DFT energy (no corrections), eV per cell: -48.88

No. 5
Below is a geometry-optimized Cs2SnIrF6 structure, with properties calculated at the PBE level.

a = 6.5636 Å, b = 6.5636 Å, c = 6.4753 Å
α = 59.55°, β = 59.55°, γ = 90.00°
With the nearest neighbours (Å) after each atom.
Element x y z (fractional)
Cs 0.7500 0.2500 0.5000  12 F 3.24-3.29
Cs 0.2500 0.7500 0.5000  12 F 3.24-3.29
Ir 0.0000 0.0000 0.0000  6 F 2.10-2.28
Sn 0.5000 0.5000 0.0000  6 F 2.37-2.42
F 0.2321 0.2321 0.5357  1 Ir 2.10
F 0.7679 0.7679 0.4643  1 Ir 2.10
F 0.2451 0.2451 0.0000  1 Ir 2.28, 1 Sn 2.37
F 0.7549 0.7549 0.0000  1 Ir 2.28, 1 Sn 2.37
F 0.7549 0.2451 0.0000  1 Ir 2.28, 1 Sn 2.37
F 0.2451 0.7549 0.0000  1 Ir 2.28, 1 Sn 2.37

Computed properties:
Total DFT energy (no corrections), eV per cell: -45.24

No. 6
Below is a geometry-optimized Cs2SrIrF6 structure, with properties calculated at the PBE level.

a = 6.6338 Å, b = 6.6338 Å, c = 6.4907 Å
α = 59.27°, β = 59.27°, γ = 90.00°
With the nearest neighbours (Å) after each atom.
Element x y z (fractional)
Cs 0.7500 0.2500 0.5000  12 F 3.25-3.32
Cs 0.2500 0.7500 0.5000  12 F 3.25-3.32
Sr 0.5000 0.5000 0.0000  6 F 2.40-2.42
Ir 0.0000 0.0000 0.0000  6 F 2.07-2.29
F 0.2306 0.2306 0.5388  1 Ir 2.07
F 0.7694 0.7694 0.4612  1 Ir 2.07
F 0.2446 0.2446 0.0000  1 Ir 2.29, 1 Sr 2.40
F 0.7554 0.7554 0.0000  1 Ir 2.29, 1 Sr 2.40
F 0.7554 0.2446 0.0000  1 Ir 2.29, 1 Sr 2.40
F 0.2446 0.7554 0.0000  1 Ir 2.29, 1 Sr 2.40

Computed properties:
Total DFT energy (no corrections), eV per cell: -47.59

No. 7
Below is a geometry-optimized Cs2TeIrF6 structure, with properties calculated at the PBE level.

a = 6.1914 Å, b = 6.1914 Å, c = 7.1198 Å
α = 64.23°, β = 64.23°, γ = 90.00°
With the nearest neighbours (Å) after each atom.
Element x y z (fractional)
Cs 0.7500 0.2500 0.5000  12 F 3.19-3.56
Cs 0.2500 0.7500 0.5000  12 F 3.19-3.56
Ir 0.0000 0.0000 0.0000  6 F 2.05-2.10
Te 0.5000 0.5000 0.0000  4 F 2.27
F 0.1829 0.1829 0.6342  1 Ir 2.05
F 0.8171 0.8171 0.3658  1 Ir 2.05
F 0.2403 0.2403 0.0000  1 Ir 2.10, 1 Te 2.27
F 0.7597 0.7597 0.0000  1 Ir 2.10, 1 Te 2.27
F 0.7597 0.2403 0.0000  1 Ir 2.10, 1 Te 2.27
F 0.2403 0.7597 0.0000  1 Ir 2.10, 1 Te 2.27

Computed properties:
Total DFT energy (no corrections), eV per cell: -42.41

No. 8
Below is a geometry-optimized CsTl2IrF6 structure, with properties calculated at the PBE level.

a = 6.1855 Å, b = 7.8123 Å, c = 9.4153 Å
α = 90.00°, β = 90.00°, γ = 90.00°
With the nearest neighbours (Å) after each atom.
Element x y z (fractional)
Cs 0.0000 0.6635 0.5000  6 F 2.92-3.05
Cs 0.5000 0.3365 0.0000  6 F 2.92-3.05
Tl 0.5000 0.8372 0.2041  5 F 2.74-2.89
Tl 0.0000 0.1628 0.7041  5 F 2.74-2.89
Tl 0.5000 0.8372 0.7959  5 F 2.74-2.89
Tl 0.0000 0.1628 0.2959  5 F 2.74-2.89
Ir 0.5000 0.1755 0.5000  6 F 2.03-2.05
Ir 0.0000 0.8245 0.0000  6 F 2.03-2.05
F 0.5000 0.1743 0.2829  1 Ir 2.04
F 0.5000 0.1743 0.7171  1 Ir 2.04
F 0.0000 0.8257 0.2171  1 Ir 2.04
F 0.0000 0.8257 0.7829  1 Ir 2.04
F 0.2546 0.9982 0.5000  1 Ir 2.05
F 0.7454 0.9982 0.5000  1 Ir 2.05
F 0.2574 0.3505 0.5000  1 Ir 2.03
F 0.7426 0.3505 0.5000  1 Ir 2.03
F 0.7574 0.6495 0.0000  1 Ir 2.03
F 0.2426 0.6495 0.0000  1 Ir 2.03
F 0.2454 0.0018 0.0000  1 Ir 2.05
F 0.7546 0.0018 0.0000  1 Ir 2.05

Computed properties:
Total DFT energy (no corrections), eV per cell: -88.50

No. 9
Below is a geometry-optimized Cs2TlIrF6 structure, with properties calculated at the PBE level.

a = 6.6677 Å, b = 6.6677 Å, c = 6.6677 Å
α = 60.00°, β = 60.00°, γ = 60.00°
With the nearest neighbours (Å) after each atom.
Element x y z (fractional)
Cs 0.7500 0.7500 0.7500  12 F 3.35
Cs 0.2500 0.2500 0.2500  12 F 3.35
Tl 0.5000 0.5000 0.5000  6 F 2.67
Ir 0.0000 0.0000 0.0000  6 F 2.05
F 0.2171 0.7829 0.7829  1 Ir 2.05
F 0.2171 0.7829 0.2171  1 Ir 2.05
F 0.2171 0.2171 0.7829  1 Ir 2.05
F 0.7829 0.7829 0.2171  1 Ir 2.05
F 0.7829 0.2171 0.2171  1 Ir 2.05
F 0.7829 0.2171 0.7829  1 Ir 2.05

Computed properties:
Total DFT energy (no corrections), eV per cell: -44.97